Computed, not measured: TbYCdHg after structural relaxation at the PBE level of DFT.

DOS(E_F) ... 4.06 states/eV/cell
SG ... F-43m
ΔE_f ... -413 meV/atom
Spin magnetization ... 0.4 μB per formula unit

Unit cell a=5.292 b=5.292 c=5.292 alpha=60.00 beta=60.00 gamma=60.00
Last column: magnetic moment on the atom in μB.
Element x y z (fractional)
Y 0.000 0.000 0.000  0.09
Tb 0.500 0.500 0.500  0.11
Hg 0.250 0.250 0.250  0.01
Cd 0.750 0.750 0.750  0.01

Computed, not measured: LiAl2Ir after structural relaxation at the PBE level of DFT.

DOS(E_F) ... 0.93 states/eV/cell
SG ... Imm2
ΔE_f ... -560 meV/atom
Energy above the lowest structure with this stoichiometry ... 0.169 eV per atom
Spin magnetization ... 0.0 μB per formula unit

Unit cell a=4.829 b=4.829 c=4.829 alpha=136.47 beta=133.49 gamma=65.59
Element x y z (fractional)
Al 0.002 0.002 0.000
Al 0.747 0.247 0.500
Ir 0.500 0.500 0.000
Li 0.251 0.751 0.500

Computed, not measured: TaV2Si2 after structural relaxation at the PBE level of DFT.

DOS(E_F) ... 7.97 states/eV/cell
ΔE_f (raw) ... -495 meV per atom
SG ... P4/mbm
Spin magnetization ... 0.0 μB per formula unit

Unit cell a=6.619 b=6.619 c=3.219 alpha=90.00 beta=90.00 gamma=90.00
Element x y z (fractional)
Si 0.372 0.872 0.000
Si 0.872 0.628 0.000
Si 0.628 0.128 0.000
Si 0.128 0.372 0.000
Ta 0.000 0.000 0.000
Ta 0.500 0.500 0.000
V 0.169 0.669 0.500
V 0.669 0.831 0.500
V 0.831 0.331 0.500
V 0.331 0.169 0.500

Computed, not measured: BeReBr2 after structural relaxation at the PBE level of DFT.

DOS(E_F) ... 3.98 states/eV/cell
ΔE_f (raw) ... 1318 meV per atom
SG ... Fm-3m
Energy above the lowest structure with this stoichiometry ... 1.164 eV per atom
Spin magnetization ... 0.0 μB per formula unit

Unit cell a=4.517 b=4.517 c=4.517 alpha=60.00 beta=60.00 gamma=60.00
Element x y z (fractional)
Re 0.500 0.500 0.500
Br 0.250 0.250 0.250
Br 0.750 0.750 0.750
Be 0.000 0.000 0.000

Computed, not measured: Li2In3Hg2 after structural relaxation at the PBE level of DFT.

DOS(E_F) ... 2.48 states/eV/cell
SG ... P2/m
ΔE_f ... -135 meV/atom
Energy above the lowest structure with this stoichiometry ... 0.038 eV per atom
Spin magnetization ... 0.0 μB per formula unit

Unit cell a=4.621 b=3.168 c=11.696 alpha=90.00 beta=102.88 gamma=90.00
Element x y z (fractional)
Li 0.430 0.500 0.848
Li 0.570 0.500 0.152
In 0.295 0.000 0.586
In 0.000 0.000 0.000
In 0.705 0.000 0.414
Hg 0.117 0.000 0.256
Hg 0.883 0.000 0.744

Computed, not measured: CsSnSe2 after structural relaxation at the PBE level of DFT.

DOS(E_F) ... 3.37 states/eV/cell
ΔE_f (raw) ... -663 meV per atom
SG ... Pnma
Spin magnetization ... 0.0 μB per formula unit

Unit cell a=7.583 b=3.823 c=18.988 alpha=90.00 beta=90.00 gamma=90.00
Element x y z (fractional)
Cs 0.249 0.250 0.584
Cs 0.251 0.750 0.084
Cs 0.751 0.750 0.416
Cs 0.749 0.250 0.916
Sn 0.252 0.250 0.314
Sn 0.248 0.750 0.814
Sn 0.748 0.750 0.686
Sn 0.752 0.250 0.186
Se 0.749 0.250 0.580
Se 0.751 0.750 0.080
Se 0.251 0.750 0.420
Se 0.249 0.250 0.920
Se 0.498 0.250 0.750
Se 0.002 0.750 0.250
Se 0.502 0.750 0.250
Se 0.998 0.250 0.750